# KBaRe2 | Alexandria | PBE | optimized geometry
# * calculated density: 7.6 g cm⁻³
# * V: 30.08 Å³ per atom
# * ΔE to the lowest computed polymorph: 1734.4 meV per atom
# * magnetization: 1.75 μB per atom
# * energy: -4.5892 eV per atom
data_KBaRe2
_space_group_name_H-M_alt 'F m -3 m'
_space_group_IT_number 225
_space_group_name_Hall '-F 4 2 3'
_cell_length_a 7.8370
_cell_length_b 7.8370
_cell_length_c 7.8370
_cell_angle_alpha 90.00
_cell_angle_beta 90.00
_cell_angle_gamma 90.00
loop_
_atom_site_label
_atom_site_type_symbol
_atom_site_fract_x
_atom_site_fract_y
_atom_site_fract_z
K1 K 0.0000 0.0000 0.0000
Ba1 Ba 0.0000 0.0000 0.5000
Re1 Re 0.2500 0.2500 0.2500